(i)
Below is a relaxed structure of TlGa2Pd2, with properties calculated at the GGA-PBE level.

```
TlGa2Pd2
1.0
4.3233 0.0000 0.0000
0.0000 4.3233 0.0000
0.0000 0.0000 10.4981
Tl Ga Pd
2 4 4
Direct
0.0000 0.0000 0.0000
0.5000 0.5000 0.5000
0.0000 0.0000 0.3774
0.0000 0.0000 0.6226
0.5000 0.5000 0.1226
0.5000 0.5000 0.8774
0.0000 0.5000 0.2500
0.0000 0.5000 0.7500
0.5000 0.0000 0.2500
0.5000 0.0000 0.7500
```

Summary:
As for the density of states at the Fermi level: 4.2 states/eV/cell.

(ii)
Below is a relaxed structure of TlGa2Pd2, with properties calculated at the GGA-PBE level.

```
TlGa2Pd2
1.0
3.8344 0.0000 0.0000
0.0000 3.8344 0.0000
0.0000 0.0000 12.7050
Tl Ga Pd
2 4 4
Direct
0.0000 0.0000 0.0000
0.5000 0.5000 0.5000
0.0000 0.5000 0.2500
0.0000 0.5000 0.7500
0.5000 0.0000 0.2500
0.5000 0.0000 0.7500
0.0000 0.0000 0.3862
0.0000 0.0000 0.6138
0.5000 0.5000 0.1138
0.5000 0.5000 0.8862
```

Summary:
As for the density of states at the Fermi level: 4.3 states/eV/cell.

Which structure is most stable? (ii), by 35 meV per atom over the runner-up.

(i)
Below is a relaxed structure of TlGaPd3, with properties calculated at the GGA-PBE level.

```
TlGaPd3
1.0
5.0692 0.0000 0.0000
0.0000 5.0692 0.0000
0.0000 0.0000 5.0692
Tl Ga Pd
1 1 3
Direct
0.0000 0.0000 0.0000
0.5000 0.5000 0.5000
0.0000 0.0000 0.5000
0.0000 0.5000 0.0000
0.5000 0.0000 0.0000
```

Summary:
As for the density of states at the Fermi level: 7.7 states/eV/cell.

(ii)
Below is a relaxed structure of TlGaPd3, with properties calculated at the GGA-PBE level.

```
TlGaPd3
1.0
4.6797 0.0000 0.0000
0.0000 4.6797 0.0000
0.0000 0.0000 4.6797
Tl Ga Pd
1 1 3
Direct
0.0000 0.0000 0.0000
0.5000 0.5000 0.5000
0.0000 0.5000 0.5000
0.5000 0.0000 0.5000
0.5000 0.5000 0.0000
```

Summary:
As for the density of states at the Fermi level: 3.4 states/eV/cell.

(iii)
Below is a relaxed structure of TlGaPd3, with properties calculated at the GGA-PBE level.

```
TlGaPd3
1.0
5.5938 0.0000 0.0000
2.7604 4.8714 0.0000
1.4448 2.1252 6.2737
Tl Ga Pd
2 2 6
Direct
0.0000 0.0000 0.0000
0.2862 0.7411 0.4466
0.5849 0.6220 0.8118
0.9500 0.4045 0.2557
0.0796 0.5312 0.8638
0.2625 0.1664 0.5989
0.4800 0.3685 0.1859
0.5331 0.9226 0.0361
0.7382 0.2027 0.6117
0.7833 0.7714 0.4485
```

Summary:
As for the density of states at the Fermi level: 2.8 states/eV/cell.

Which structure is most stable? (iii), by 398 meV per atom over the runner-up.

(i)
Below is a relaxed structure of Tl2Ga2Pd, with properties calculated at the GGA-PBE level.

```
Tl2Ga2Pd
1.0
6.6223 0.0000 0.0000
0.0000 6.6223 0.0000
0.0000 0.0000 5.2670
Tl Ga Pd
4 4 2
Direct
0.1876 0.3124 0.0000
0.3124 0.8124 0.0000
0.6876 0.1876 0.0000
0.8124 0.6876 0.0000
0.1431 0.6431 0.5000
0.3569 0.1431 0.5000
0.6431 0.8569 0.5000
0.8569 0.3569 0.5000
0.0000 0.0000 0.5000
0.5000 0.5000 0.5000
```

Summary:
As for the density of states at the Fermi level: 3.6 states/eV/cell.

(ii)
Below is a relaxed structure of Tl2Ga2Pd, with properties calculated at the GGA-PBE level.

```
Tl2Ga2Pd
1.0
7.3528 0.0000 0.0000
0.0000 7.3528 0.0000
0.0000 0.0000 4.3945
Tl Ga Pd
4 4 2
Direct
0.1584 0.3416 0.0000
0.3416 0.8416 0.0000
0.6584 0.1584 0.0000
0.8416 0.6584 0.0000
0.1499 0.6499 0.5000
0.3501 0.1499 0.5000
0.6499 0.8501 0.5000
0.8501 0.3501 0.5000
0.0000 0.0000 0.0000
0.5000 0.5000 0.0000
```

Summary:
As for the density of states at the Fermi level: 3.3 states/eV/cell.

Which structure is most stable? (i), by 255 meV per atom over the runner-up.

(i)
Below is a relaxed structure of TlGa2Pd7, with properties calculated at the GGA-PBE level.

```
TlGa2Pd7
1.0
3.6721 -6.0991 0.0000
3.6721 6.0991 0.0000
0.0000 0.0000 4.4612
Tl Ga Pd
1 2 7
Direct
0.0000 0.0000 0.0000
0.3006 0.6994 0.5000
0.6994 0.3006 0.5000
0.0676 0.3081 0.5000
0.2226 0.7774 0.0000
0.3081 0.0676 0.5000
0.5000 0.5000 0.5000
0.6919 0.9324 0.5000
0.7774 0.2226 0.0000
0.9324 0.6919 0.5000
```

Summary:
As for the density of states at the Fermi level: 4.5 states/eV/cell.

(ii)
Below is a relaxed structure of TlGa2Pd7, with properties calculated at the GGA-PBE level.

```
TlGa2Pd7
1.0
-2.0693 2.0693 9.8650
2.0693 -2.0693 9.8650
2.0693 2.0693 -9.8650
Tl Ga Pd
1 2 7
Direct
0.0000 0.0000 0.0000
0.3246 0.3246 0.0000
0.6754 0.6754 0.0000
0.1017 0.6017 0.5000
0.2500 0.7500 0.5000
0.3983 0.8983 0.5000
0.5000 0.5000 0.0000
0.6017 0.1017 0.5000
0.7500 0.2500 0.5000
0.8983 0.3983 0.5000
```

Summary:
As for the density of states at the Fermi level: 2.3 states/eV/cell.

Which structure is most stable? (ii), by 340 meV per atom over the runner-up.

(i)
Below is a relaxed structure of Tm3Ga2Pd, with properties calculated at the GGA-PBE level.

```
Tm3Ga2Pd
1.0
11.4869 0.0000 0.0000
0.0000 4.3933 0.0000
0.0000 0.0000 10.8595
Tm Ga Pd
12 8 4
Direct
0.0464 0.2500 0.1291
0.1241 0.7500 0.5705
0.2170 0.2500 0.8152
0.2830 0.7500 0.3152
0.3759 0.2500 0.0705
0.4536 0.7500 0.6291
0.5464 0.2500 0.3709
0.6241 0.7500 0.9295
0.7170 0.2500 0.6848
0.7830 0.7500 0.1848
0.8759 0.2500 0.4295
0.9536 0.7500 0.8709
0.0158 0.7500 0.3084
0.1859 0.7500 0.0216
0.3141 0.2500 0.5216
0.4842 0.2500 0.8084
0.5158 0.7500 0.1916
0.6859 0.7500 0.4784
0.8141 0.2500 0.9784
0.9842 0.2500 0.6916
0.1249 0.2500 0.3853
0.3751 0.7500 0.8853
0.6249 0.2500 0.1147
0.8751 0.7500 0.6147
```

Summary:
As for the density of states at the Fermi level: 19.1 states/eV/cell.

(ii)
Below is a relaxed structure of Tm3Ga2Pd, with properties calculated at the GGA-PBE level.

```
Tm3Ga2Pd
1.0
3.5168 0.0000 0.0000
0.0000 3.5168 0.0000
0.0000 0.0000 10.4562
Tm Ga Pd
3 2 1
Direct
0.0000 0.0000 0.0000
0.0000 0.0000 0.3398
0.0000 0.0000 0.6602
0.5000 0.5000 0.1686
0.5000 0.5000 0.8314
0.5000 0.5000 0.5000
```

Summary:
As for the density of states at the Fermi level: 3.0 states/eV/cell.

Which structure is most stable? (ii), by 28 meV per atom over the runner-up.

(i)
Below is a relaxed structure of Tm3Ga4Pd4, with properties calculated at the GGA-PBE level.

```
Tm3Ga4Pd4
1.0
-2.0610 3.5849 7.0298
2.0610 -3.5849 7.0298
2.0610 3.5849 -7.0298
Tm Ga Pd
3 4 4
Direct
0.0000 0.0000 0.0000
0.3751 0.8751 0.5000
0.6249 0.1249 0.5000
0.0270 0.3257 0.7012
0.3755 0.6743 0.7012
0.6245 0.3257 0.2988
0.9730 0.6743 0.2988
0.2128 0.2128 0.0000
0.3023 0.5000 0.8023
0.6977 0.5000 0.1977
0.7872 0.7872 0.0000
```

Summary:
As for the density of states at the Fermi level: 6.3 states/eV/cell.

(ii)
Below is a relaxed structure of Tm3Ga4Pd4, with properties calculated at the GGA-PBE level.

```
Tm3Ga4Pd4
1.0
-1.7792 2.2210 13.1811
1.7792 -2.2210 13.1811
1.7792 2.2210 -13.1811
Tm Ga Pd
3 4 4
Direct
0.0000 0.0000 0.0000
0.3582 0.8582 0.5000
0.6418 0.1418 0.5000
0.1907 0.6907 0.5000
0.4522 0.4522 0.0000
0.5478 0.5478 0.0000
0.8093 0.3093 0.5000
0.0948 0.5948 0.5000
0.2602 0.2602 0.0000
0.7398 0.7398 0.0000
0.9052 0.4052 0.5000
```

Summary:
As for the density of states at the Fermi level: 5.9 states/eV/cell.

Which structure is most stable? (i), by 16 meV per atom over the runner-up.